Below is a relaxed structure of Sr2BeC, with properties calculated at the GGA-PBE level.

As for the volume: 21.772 Å³ per atom. The value obtained for the total energy is -12.46 eV/f.u. As for the formation energy: 0.96 eV/atom. The value obtained for the energy above the most stable polymorph in this dataset is 0.0 meV per atom. The value obtained for the density of states at the Fermi level is 0.8 states/eV per cell.

Cell lengths 7.0362, 7.0362, 7.0362 Å; angles 90.00, 90.00, 90.00 degrees
Closest atoms and distances in Å follow each position.
Space group Fm-3m (No. 225)
Inequivalent atoms, fractional coordinates:
Sr: 0.2500 0.2500 0.2500  4 C 3.05, 4 Be 3.05
Be: 0.0000 0.0000 0.0000  8 Sr 3.05
C: 0.0000 0.0000 0.5000  8 Sr 3.05

=====

Below is a relaxed structure of SrBeC3, with properties calculated at the GGA-PBE level.

As for the volume: 19.421 Å³ per atom. The value obtained for the total energy is -13.32 eV/f.u. As for the formation energy: 3.95 eV/atom. The value obtained for the energy above the most stable polymorph in this dataset is 2169.9 meV per atom. The value obtained for the density of states at the Fermi level is 4.8 states/eV per cell.

Cell lengths 4.5964, 4.5964, 4.5964 Å; angles 90.00, 90.00, 90.00 degrees
Closest atoms and distances in Å follow each position.
Space group Pm-3m (No. 221)
Inequivalent atoms, fractional coordinates:
Sr: 0.0000 0.0000 0.0000  6 C 2.30
Be: 0.5000 0.5000 0.5000  12 C 3.25
C: 0.0000 0.0000 0.5000  2 Sr 2.30

=====

Below is a relaxed structure of Sr3BeC, with properties calculated at the GGA-PBE level.

As for the volume: 31.301 Å³ per atom. The value obtained for the total energy is -14.72 eV/f.u. As for the formation energy: 0.65 eV/atom. The value obtained for the energy above the most stable polymorph in this dataset is 0.0 meV per atom. The value obtained for the density of states at the Fermi level is 8.9 states/eV per cell.

Cell lengths 5.3890, 5.3890, 5.3890 Å; angles 90.00, 90.00, 90.00 degrees
Closest atoms and distances in Å follow each position.
Space group Pm-3m (No. 221)
Inequivalent atoms, fractional coordinates:
Sr: 0.0000 0.0000 0.5000  2 C 2.69
Be: 0.5000 0.5000 0.5000  12 Sr 3.81
C: 0.0000 0.0000 0.0000  6 Sr 2.69

=====

Below is a relaxed structure of Sr2BeC, with properties calculated at the GGA-PBE level.

As for the volume: 28.027 Å³ per atom. The value obtained for the total energy is -11.88 eV/f.u. As for the formation energy: 1.11 eV/atom. The value obtained for the energy above the most stable polymorph in this dataset is 142.7 meV per atom. The value obtained for the density of states at the Fermi level is 5.4 states/eV per cell.

Cell lengths 7.7633, 7.7633, 7.4406 Å; angles 90.00, 90.00, 90.00 degrees
Closest atoms and distances in Å follow each position.
Space group I-42d (No. 122)
Inequivalent atoms, fractional coordinates:
Sr: 0.1809 0.2500 0.1250  2 C 2.57
Be: 0.0000 0.0000 0.5000  4 Sr 3.28
C: 0.0000 0.0000 0.0000  4 Sr 2.57

=====

Below is a relaxed structure of SrBeC3, with properties calculated at the GGA-PBE level.

As for the volume: 11.495 Å³ per atom. The value obtained for the total energy is -24.17 eV/f.u. As for the formation energy: 1.78 eV/atom. The value obtained for the energy above the most stable polymorph in this dataset is 0.0 meV per atom. The value obtained for the density of states at the Fermi level is 2.7 states/eV per cell.

Cell lengths 3.8592, 3.8592, 3.8592 Å; angles 90.00, 90.00, 90.00 degrees
Closest atoms and distances in Å follow each position.
Space group Pm-3m (No. 221)
Inequivalent atoms, fractional coordinates:
Sr: 0.0000 0.0000 0.0000  12 C 2.73
Be: 0.5000 0.5000 0.5000  6 C 1.93
C: 0.0000 0.5000 0.5000  2 Be 1.93

=====

Below is a relaxed structure of Ta3Be3C, with properties calculated at the GGA-PBE level.

As for the volume: 12.692 Å³ per atom. The value obtained for the total energy is -57.73 eV/f.u. As for the formation energy: -0.25 eV/atom. The value obtained for the density of states at the Fermi level is 70.5 states/eV per cell.

Cell lengths 11.2439, 11.2439, 11.2439 Å; angles 90.00, 90.00, 90.00 degrees
Closest atoms and distances in Å follow each position.
Space group Fd-3m (No. 227, origin choice 2)
Inequivalent atoms, fractional coordinates:
Ta: 0.0656 0.3750 0.3750  2 C 2.12
Be: 0.0000 0.0000 0.5000  6 Be 2.40
Be: 0.0473 0.0473 0.7027  6 Be 2.40-2.47
C: 0.0000 0.0000 0.0000  6 Ta 2.12

=====

Below is a relaxed structure of TaBe3C, with properties calculated at the GGA-PBE level.

As for the volume: 18.105 Å³ per atom. The value obtained for the total energy is -17.46 eV/f.u. As for the formation energy: 2.96 eV/atom. The value obtained for the energy above the most stable polymorph in this dataset is 2358.8 meV per atom. The value obtained for the density of states at the Fermi level is 3.3 states/eV per cell.

Cell lengths 4.4901, 4.4901, 4.4901 Å; angles 90.00, 90.00, 90.00 degrees
Closest atoms and distances in Å follow each position.
Space group Pm-3m (No. 221)
Inequivalent atoms, fractional coordinates:
Ta: 0.0000 0.0000 0.0000  6 Be 2.25
Be: 0.0000 0.0000 0.5000  2 Ta 2.25
C: 0.5000 0.5000 0.5000  12 Be 3.18

=====

Below is a relaxed structure of Ta3BeC, with properties calculated at the GGA-PBE level.

As for the volume: 15.199 Å³ per atom. The value obtained for the total energy is -48.01 eV/f.u. As for the formation energy: 0.10 eV/atom. The value obtained for the energy above the most stable polymorph in this dataset is 0.0 meV per atom. The value obtained for the density of states at the Fermi level is 6.3 states/eV per cell.

Cell lengths 4.2357, 4.2357, 4.2357 Å; angles 90.00, 90.00, 90.00 degrees
Closest atoms and distances in Å follow each position.
Space group Pm-3m (No. 221)
Inequivalent atoms, fractional coordinates:
Ta: 0.0000 0.0000 0.5000  2 C 2.12
Be: 0.5000 0.5000 0.5000  12 Ta 3.00
C: 0.0000 0.0000 0.0000  6 Ta 2.12

=====

Below is a relaxed structure of TaBe2C, with properties calculated at the GGA-PBE level.

As for the volume: 10.332 Å³ per atom. The value obtained for the total energy is -27.63 eV/f.u. As for the formation energy: 0.22 eV/atom. The value obtained for the density of states at the Fermi level is 6.6 states/eV per cell.

Cell lengths 6.1706, 6.1706, 4.3416 Å; angles 90.00, 90.00, 90.00 degrees
Closest atoms and distances in Å follow each position.
Space group I-42d (No. 122)
Inequivalent atoms, fractional coordinates:
Ta: 0.0000 0.0000 0.0000  2 C 2.17
Be: 0.1579 0.7500 0.6250  2 C 1.90
C: 0.0000 0.0000 0.5000  4 Be 1.90

=====

Below is a relaxed structure of TaBeC2, with properties calculated at the GGA-PBE level.

As for the volume: 9.474 Å³ per atom. The value obtained for the total energy is -32.30 eV/f.u. As for the formation energy: 0.43 eV/atom. The value obtained for the density of states at the Fermi level is 2.1 states/eV per cell.

Cell lengths 5.2368, 5.2368, 5.5272 Å; angles 90.00, 90.00, 90.00 degrees
Closest atoms and distances in Å follow each position.
Space group I-42d (No. 122)
Inequivalent atoms, fractional coordinates:
Ta: 0.0000 0.0000 0.0000  4 C 2.17
Be: 0.0000 0.0000 0.5000  4 C 1.80
C: 0.1971 0.7500 0.6250  2 Be 1.80

=====

Below is a relaxed structure of Ta2Be16C, with properties calculated at the GGA-PBE level.

As for the volume: 8.797 Å³ per atom. The value obtained for the total energy is -93.00 eV/f.u. As for the formation energy: -0.02 eV/atom. The value obtained for the density of states at the Fermi level is 11.6 states/eV per cell.

Cell lengths 7.4318, 7.4318, 10.4826 Å; angles 90.00, 90.00, 120.00 degrees
Closest atoms and distances in Å follow each position.
Space group R3m (No. 160, hexagonal axes)
Inequivalent atoms, fractional coordinates:
Ta: 0.0000 0.0000 0.0000  18 Be 2.53-2.78
Ta: 0.0000 0.0000 0.3396  1 C 2.22
Be: 0.0000 0.0000 0.7284  1 C 1.86
Be: 0.0016 0.3175 0.6670  7 Be 2.10-2.34
Be: 0.0063 0.5032 0.8262  8 Be 2.11-2.18, 1 C 2.27
Be: 0.1676 0.3352 0.4986  8 Be 2.10-2.17, 1 C 2.23
Be: 0.1692 0.3385 0.8393  8 Be 2.11-2.17
C: 0.0000 0.0000 0.5509  1 Be 1.86

=====

Below is a relaxed structure of TaBe3C, with properties calculated at the GGA-PBE level.

As for the volume: 9.866 Å³ per atom. The value obtained for the total energy is -29.26 eV/f.u. As for the formation energy: 0.60 eV/atom. The value obtained for the energy above the most stable polymorph in this dataset is 0.0 meV per atom. The value obtained for the density of states at the Fermi level is 2.3 states/eV per cell.

Cell lengths 3.6675, 3.6675, 3.6675 Å; angles 90.00, 90.00, 90.00 degrees
Closest atoms and distances in Å follow each position.
Space group Pm-3m (No. 221)
Inequivalent atoms, fractional coordinates:
Ta: 0.0000 0.0000 0.0000  12 Be 2.59
Be: 0.0000 0.5000 0.5000  2 C 1.83
C: 0.5000 0.5000 0.5000  6 Be 1.83